[1]
Computed, not measured: an optimized crystal structure of HgSe3F at the PBE level of DFT.

extended XYZ file:
```
5
Lattice="5.2749 0.0000 0.0000 0.0000 5.2749 0.0000 0.0000 0.0000 5.2749" Properties=species:S:1:pos:R:3 pbc="T T T"
Hg 0.0000 0.0000 0.0000
Se 0.0000 0.0000 2.6374
Se 0.0000 2.6374 0.0000
Se 2.6374 0.0000 0.0000
F 2.6374 2.6374 2.6374
```

## Properties
**Total energy**: -1.8047 eV/atom
**Spin magnetization**: 3.925 μB/cell
**SG**: Pm-3m (221)

=====

[2]
Computed, not measured: an optimized crystal structure of Hg2SeF at the PBE level of DFT.

extended XYZ file:
```
12
Lattice="3.0490 0.0000 0.0000 -1.5245 2.6405 0.0000 0.0000 0.0000 30.5575" Properties=species:S:1:pos:R:3 pbc="T T T"
Hg -0.9910 1.7520 8.2068
Hg 0.5027 0.9062 18.3926
Hg 0.5334 0.8885 12.1649
Hg 0.4883 2.6227 28.5784
Hg 2.0128 0.0177 22.3507
Hg 2.0272 1.7342 1.9791
Se -1.0059 1.7423 5.0929
Se 0.5186 0.8982 15.2787
Se 2.0119 0.0000 25.4646
F -1.0256 1.7764 20.3717
F 0.4989 0.8640 0.0000
F 2.0513 0.0000 10.1858
```

## Properties
**Total energy**: -1.8293 eV/atom
**Spin magnetization**: 0.000 μB/cell
**SG**: P3_121 (152)

=====

[3]
Computed, not measured: an optimized crystal structure of Hg12Se5F3 at the PBE level of DFT.

extended XYZ file:
```
80
Lattice="-8.2591 8.2591 8.2591 8.2591 -8.2591 8.2591 8.2591 8.2591 -8.2591" Properties=species:S:1:pos:R:3 pbc="T T T"
Hg 10.9526 -0.0349 1.0512
Hg 9.6950 -3.0784 4.0947
Hg 2.6936 0.0349 1.0512
Hg 9.6950 5.1807 -4.0947
Hg 8.2939 -1.0512 2.6936
Hg 12.3537 -1.4360 3.0784
Hg 5.1807 4.0947 -1.4360
Hg 7.2079 2.6936 -0.0349
Hg 1.0512 2.6936 0.0349
Hg 11.3374 4.1644 -1.4360
Hg 0.0349 1.0512 2.6936
Hg 4.0947 -1.4360 5.1807
Hg 8.2939 7.2079 -2.6936
Hg 4.0947 1.4360 3.0784
Hg 3.0784 4.0947 1.4360
Hg 9.3103 5.5655 -0.0349
Hg 5.1807 -4.0947 9.6950
Hg 7.2079 -2.6936 8.2939
Hg 4.0947 9.6950 -3.0784
Hg 8.2939 1.0512 5.5655
Hg 1.4360 3.0784 4.0947
Hg 2.6936 -0.0349 7.2079
Hg 2.6936 8.2939 -1.0512
Hg 9.6950 3.0784 4.1644
Hg -1.4360 5.1807 4.0947
Hg 5.5655 -0.0349 9.3103
Hg 5.5655 8.2939 1.0512
Hg 6.8231 5.1807 4.1644
Hg -0.0349 7.2079 2.6936
Hg 4.1644 -1.4360 11.3374
Hg 1.0512 10.9526 -0.0349
Hg 3.0784 12.3537 -1.4360
Hg -1.0512 2.6936 8.2939
Hg 5.1807 4.1644 6.8231
Hg 4.1644 6.8231 5.1807
Hg -0.0349 1.0512 10.9526
Hg 4.1644 9.6950 3.0784
Hg 8.2242 7.2079 5.5655
Hg -3.0784 4.0947 9.6950
Hg 7.2079 5.5655 8.2242
Hg 1.0512 5.5655 8.2939
Hg 3.0784 4.1644 9.6950
Hg -4.0947 9.6950 5.1807
Hg -0.0349 9.3103 5.5655
Hg -1.4360 3.0784 12.3537
Hg 5.5655 8.2242 7.2079
Hg -1.4360 11.3374 4.1644
Hg -2.6936 8.2939 7.2079
Se 0.0000 0.0000 0.0000
Se 4.1295 4.1295 -4.1295
Se 4.1295 -4.1295 4.1295
Se 8.2591 0.0000 0.0000
Se 12.3886 2.0648 0.0000
Se 8.2591 -4.1295 6.1943
Se 6.1943 8.2591 -4.1295
Se 6.1943 0.0000 4.1295
Se 4.1295 6.1943 0.0000
Se 8.2591 4.1295 2.0648
Se -4.1295 4.1295 4.1295
Se 0.0000 8.2591 0.0000
Se 0.0000 0.0000 8.2591
Se 4.1295 4.1295 4.1295
Se 0.0000 4.1295 6.1943
Se 4.1295 2.0648 8.2591
Se 2.0648 8.2591 4.1295
Se 2.0648 0.0000 12.3886
Se 0.0000 12.3886 2.0648
Se -4.1295 6.1943 8.2591
F 4.1295 2.0648 0.0000
F 8.2591 4.1295 -2.0648
F 2.0648 0.0000 4.1295
F 10.3238 0.0000 4.1295
F 0.0000 4.1295 2.0648
F 4.1295 -2.0648 8.2591
F 4.1295 10.3238 0.0000
F 8.2591 4.1295 6.1943
F -2.0648 8.2591 4.1295
F 6.1943 8.2591 4.1295
F 0.0000 4.1295 10.3238
F 4.1295 6.1943 8.2591
```

## Properties
**Total energy**: -1.6137 eV/atom
**Spin magnetization**: 0.000 μB/cell
**SG**: Ia-3d (230)

=====

[4]
Computed, not measured: an optimized crystal structure of Hg3SeF at the PBE level of DFT.

extended XYZ file:
```
5
Lattice="5.4986 0.0000 0.0000 0.0000 5.4986 0.0000 0.0000 0.0000 5.4986" Properties=species:S:1:pos:R:3 pbc="T T T"
Hg 0.0000 0.0000 2.7493
Hg 0.0000 2.7493 0.0000
Hg 2.7493 0.0000 0.0000
Se 0.0000 0.0000 0.0000
F 2.7493 2.7493 2.7493
```

## Properties
**Total energy**: -1.4000 eV/atom
**Spin magnetization**: 0.000 μB/cell
**SG**: Pm-3m (221)

=====

[5]
Computed, not measured: an optimized crystal structure of HgSeF3 at the PBE level of DFT.

extended XYZ file:
```
5
Lattice="4.3929 0.0000 0.0000 0.0000 4.3929 0.0000 0.0000 0.0000 4.3929" Properties=species:S:1:pos:R:3 pbc="T T T"
Hg 0.0000 0.0000 0.0000
Se 2.1964 2.1964 2.1964
F 0.0000 2.1964 2.1964
F 2.1964 0.0000 2.1964
F 2.1964 2.1964 0.0000
```

## Properties
**Total energy**: -2.6815 eV/atom
**Spin magnetization**: 0.000 μB/cell
**SG**: Pm-3m (221)

=====

[6]
Computed, not measured: an optimized crystal structure of Hg2SeF8 at the PBE level of DFT.

extended XYZ file:
```
11
Lattice="4.9836 -3.7693 0.0000 4.9836 3.7693 0.0000 -0.0940 0.0000 4.7412" Properties=species:S:1:pos:R:3 pbc="T T T"
Hg 1.3280 0.0000 1.2292
Hg 8.5453 0.0000 3.5120
Se 4.9367 0.0000 2.3706
F 0.8433 0.0000 3.5917
F 3.8738 1.3721 3.2431
F 3.5554 0.0000 0.9454
F 5.9995 1.3721 1.4981
F 3.8738 -1.3721 3.2431
F 6.3179 0.0000 3.7958
F 5.9995 -1.3721 1.4981
F 9.0300 0.0000 1.1495
```

## Properties
**Total energy**: -3.2282 eV/atom
**Spin magnetization**: 0.000 μB/cell
**SG**: C2/m (12)

=====

[7]
Computed, not measured: an optimized crystal structure of HgSeF2 at the PBE level of DFT.

extended XYZ file:
```
4
Lattice="0.0000 3.1803 3.1803 3.1803 0.0000 3.1803 3.1803 3.1803 0.0000" Properties=species:S:1:pos:R:3 pbc="T T T"
Hg 0.0000 0.0000 0.0000
Se 3.1803 3.1803 3.1803
F 1.5902 1.5902 1.5902
F 4.7705 4.7705 4.7705
```

## Properties
**Total energy**: -2.2700 eV/atom
**Spin magnetization**: 2.006 μB/cell
**SG**: Fm-3m (225)

=====

[8]
Computed, not measured: an optimized crystal structure of HgSeF2 at the PBE level of DFT.

extended XYZ file:
```
4
Lattice="1.5240 0.8799 8.8707 -1.5240 0.8799 8.8707 0.0000 -1.7597 8.8707" Properties=species:S:1:pos:R:3 pbc="T T T"
Hg 0.0000 0.0000 0.0000
Se 0.0000 0.0000 13.3061
F 0.0000 0.0000 11.4095
F 0.0000 0.0000 15.2027
```

## Properties
**Total energy**: -2.8297 eV/atom
**Spin magnetization**: 0.000 μB/cell
**SG**: R-3m (166)

=====

[9]
Computed, not measured: an optimized crystal structure of Si2HgSeF at the PBE level of DFT.

extended XYZ file:
```
5
Lattice="5.0211 0.0000 0.0000 0.0000 5.0211 0.0000 0.0000 0.0000 4.2080" Properties=species:S:1:pos:R:3 pbc="T T T"
Si 0.0000 2.5106 0.0000
Si 2.5106 0.0000 0.0000
Hg 0.0000 0.0000 2.1040
Se 2.5106 2.5106 0.0000
F 2.5106 2.5106 2.1040
```

## Properties
**Total energy**: -2.9879 eV/atom
**Spin magnetization**: 0.000 μB/cell
**SG**: P4/mmm (123)

=====

[10]
Computed, not measured: an optimized crystal structure of TlHg2SeF at the PBE level of DFT.

extended XYZ file:
```
5
Lattice="5.6715 0.0000 0.0000 0.0000 5.6715 0.0000 0.0000 0.0000 4.2914" Properties=species:S:1:pos:R:3 pbc="T T T"
Tl 0.0000 0.0000 0.0000
Hg 0.0000 2.8358 2.1457
Hg 2.8358 0.0000 2.1457
Se 2.8358 2.8358 0.0000
F 2.8358 2.8358 2.1457
```

## Properties
**Total energy**: -1.9082 eV/atom
**Spin magnetization**: 0.000 μB/cell
**SG**: P4/mmm (123)